The following is a PBE calculation of a relaxed CdHg3Se4 crystal, from Alexandria via LeMat-Bulk.

Computed properties:
Density of states at the Fermi level = 1.6 states/eV per cell
Formation energy from raw total energies = -0.3090 eV/atom
Total magnetization = 0.0 μB/f.u.
ρ = 7.0 g/cm3
VASP energy = -2.2788 eV/atom

Geometry as extended XYZ:
```
16
Lattice="7.224 0.000 0.000 0.000 7.649 0.000 0.000 0.000 8.828" Properties=species:S:1:pos:R:3 pbc="T T T"
Cd 0.018 1.276 0.000
Cd 3.631 6.373 4.414
Hg 3.634 6.375 0.000
Hg 0.010 5.106 2.206
Hg 3.622 2.543 2.208
Hg 0.022 1.274 4.414
Hg 3.622 2.543 6.620
Hg 0.010 5.106 6.623
Se 0.914 6.393 0.000
Se 4.548 1.276 0.000
Se 0.906 2.548 2.194
Se 4.518 5.101 2.220
Se 0.936 6.372 4.414
Se 4.526 1.256 4.414
Se 4.518 5.101 6.609
Se 0.906 2.548 6.634
```

---

The following is a PBE calculation of a relaxed Cd2HgSe crystal, from Alexandria via LeMat-Bulk.

Computed properties:
Density of states at the Fermi level = 1.5 states/eV per cell
Formation energy from raw total energies = -0.0633 eV/atom
Total magnetization = 0.0 μB/f.u.
ρ = 8.1 g/cm3
VASP energy = -1.4674 eV/atom

Geometry as extended XYZ:
```
4
Lattice="-4.614 2.711 -1.690 -2.868 -0.197 4.820 4.712 2.248 -2.058" Properties=species:S:1:pos:R:3 pbc="T T T"
Cd -7.375 2.478 3.085
Cd -3.848 1.293 1.610
Hg -0.948 1.654 2.163
Se -1.821 3.108 -1.092
```

---

The following is a PBE calculation of a relaxed Cd2HgSe crystal, from Alexandria via LeMat-Bulk.

Computed properties:
Density of states at the Fermi level = 2.3 states/eV per cell
Formation energy from raw total energies = 0.1121 eV/atom
Total magnetization = 0.1 μB/f.u.
ρ = 8.9 g/cm3
VASP energy = -1.2920 eV/atom

Geometry as extended XYZ:
```
4
Lattice="-3.933 10.170 4.545 -4.288 8.458 7.045 -1.593 9.762 6.459" Properties=species:S:1:pos:R:3 pbc="T T T"
Cd -0.009 0.025 0.016
Cd -4.898 14.169 9.009
Hg -2.453 7.097 4.512
Se -7.360 21.292 13.537
```

---

The following is a PBE calculation of a relaxed Cd2HgSe crystal, from Alexandria via LeMat-Bulk.

Computed properties:
Density of states at the Fermi level = 0.9 states/eV per cell
Formation energy from raw total energies = -0.1327 eV/atom
Total magnetization = 0.0 μB/f.u.
ρ = 7.9 g/cm3
VASP energy = -1.5369 eV/atom

Geometry as extended XYZ:
```
8
Lattice="-2.344 6.696 -2.863 0.867 -2.730 -7.094 -4.142 0.807 -4.942" Properties=species:S:1:pos:R:3 pbc="T T T"
Hg 0.000 0.000 0.000
Hg -3.613 4.742 -6.392
Se -0.739 1.983 -4.979
Se -2.007 0.030 -8.507
Cd -2.340 3.894 -3.847
Cd -0.840 -0.517 -6.091
Cd -3.641 2.031 -7.600
Cd -4.419 4.136 -12.259
```

---

The following is a PBE calculation of a relaxed Cd2HgSe crystal, from Alexandria via LeMat-Bulk.

Computed properties:
Density of states at the Fermi level = 1.1 states/eV per cell
Formation energy from raw total energies = -0.0742 eV/atom
Total magnetization = 0.0 μB/f.u.
ρ = 8.6 g/cm3
VASP energy = -1.4784 eV/atom

Geometry as extended XYZ:
```
4
Lattice="3.943 0.000 0.000 0.000 3.000 -0.013 0.000 0.044 8.202" Properties=species:S:1:pos:R:3 pbc="T T T"
Cd 0.000 2.257 -0.003
Cd 0.000 2.266 4.084
Hg 1.972 0.761 2.047
Se 1.972 2.283 6.142
```

---

The following is a PBE calculation of a relaxed Cd2HgSe crystal, from Alexandria via LeMat-Bulk.

Computed properties:
Density of states at the Fermi level = 2.2 states/eV per cell
Formation energy from raw total energies = 0.1231 eV/atom
Total magnetization = 0.0 μB/f.u.
ρ = 8.8 g/cm3
VASP energy = -1.2810 eV/atom

Geometry as extended XYZ:
```
4
Lattice="11.682 0.150 0.088 11.233 3.210 0.088 11.233 1.647 2.756" Properties=species:S:1:pos:R:3 pbc="T T T"
Cd 0.090 0.013 0.008
Cd 8.643 1.267 0.742
Hg 17.153 2.515 1.473
Se 25.336 3.715 2.176
```

---

The following is a PBE calculation of a relaxed CdHgSe crystal, from Alexandria via LeMat-Bulk.

Computed properties:
Density of states at the Fermi level = 1.1 states/eV per cell
Formation energy from raw total energies = 0.0163 eV/atom
Total magnetization = 0.0 μB/f.u.
ρ = 8.8 g/cm3
VASP energy = -1.5509 eV/atom

Geometry as extended XYZ:
```
3
Lattice="-4.485 -4.916 -1.170 -0.133 -6.749 0.290 2.136 5.715 2.902" Properties=species:S:1:pos:R:3 pbc="T T T"
Cd -0.068 -0.170 -0.013
Hg -1.587 -4.008 -0.302
Se -2.964 -7.486 -0.565
```

---

The following is a PBE calculation of a relaxed Cd2HgSe crystal, from Alexandria via LeMat-Bulk.

Computed properties:
Density of states at the Fermi level = 1.1 states/eV per cell
Formation energy from raw total energies = -0.0871 eV/atom
Total magnetization = 0.0 μB/f.u.
ρ = 8.1 g/cm3
VASP energy = -1.4913 eV/atom

Geometry as extended XYZ:
```
4
Lattice="6.905 0.023 0.000 4.517 5.223 0.000 -5.711 -2.623 2.861" Properties=species:S:1:pos:R:3 pbc="T T T"
Cd 0.000 0.000 0.000
Cd 2.259 2.611 1.431
Hg 5.711 2.623 0.000
Se 3.453 0.011 1.431
```

---

The following is a PBE calculation of a relaxed Cd2HgSe crystal, from Alexandria via LeMat-Bulk.

Computed properties:
Density of states at the Fermi level = 1.9 states/eV per cell
Formation energy from raw total energies = -0.1773 eV/atom
Total magnetization = 0.0 μB/f.u.
ρ = 8.2 g/cm3
VASP energy = -1.5814 eV/atom

Geometry as extended XYZ:
```
4
Lattice="4.063 0.019 -0.017 2.005 3.534 -0.017 2.027 1.187 7.098" Properties=species:S:1:pos:R:3 pbc="T T T"
Cd 6.064 3.550 0.110
Cd 4.052 2.373 3.389
Hg 6.072 3.555 5.299
Se 2.024 1.185 1.766
```

---

The following is a PBE calculation of a relaxed CdHgSe crystal, from Alexandria via LeMat-Bulk.

Computed properties:
Formation energy from raw total energies = -0.1024 eV/atom
Total magnetization = 0.0 μB/f.u.
ρ = 8.1 g/cm3
VASP energy = -1.6695 eV/atom

Geometry as extended XYZ:
```
3
Lattice="4.853 0.000 0.000 2.426 4.202 0.000 2.426 1.401 3.962" Properties=species:S:1:pos:R:3 pbc="T T T"
Cd 2.426 1.401 0.991
Hg 0.000 0.000 0.000
Se 4.853 2.802 1.981
```

---

The following is a PBE calculation of a relaxed CdHg4Se5 crystal, from Alexandria via LeMat-Bulk.

Computed properties:
Density of states at the Fermi level = 1.1 states/eV per cell
Formation energy from raw total energies = -0.2945 eV/atom
Total magnetization = 0.0 μB/f.u.
ρ = 7.1 g/cm3
VASP energy = -2.2489 eV/atom

Geometry as extended XYZ:
```
10
Lattice="-6.564 -10.912 9.567 -0.602 -11.066 11.439 2.976 13.209 -8.388" Properties=species:S:1:pos:R:3 pbc="T T T"
Hg -6.455 -19.797 18.921
Hg -2.152 -6.600 6.308
Hg -5.014 -15.379 14.698
Hg -0.711 -2.181 2.085
Se -0.605 -4.424 6.777
Se -2.865 -2.138 3.730
Se 0.836 -0.005 2.554
Se -2.045 -8.842 11.000
Se -4.305 -6.555 7.952
Cd -3.583 -10.989 10.503
```

---

The following is a PBE calculation of a relaxed CdHgSe crystal, from Alexandria via LeMat-Bulk.

Computed properties:
Density of states at the Fermi level = 0.3 states/eV per cell
Formation energy from raw total energies = -0.2314 eV/atom
Total magnetization = 0.0 μB/f.u.
ρ = 6.9 g/cm3
VASP energy = -1.7985 eV/atom

Geometry as extended XYZ:
```
3
Lattice="-0.431 -6.475 -2.229 -1.246 -6.567 1.549 -3.726 -0.624 -0.821" Properties=species:S:1:pos:R:3 pbc="T T T"
Cd -3.494 -2.030 -0.805
Hg -3.042 -4.768 -0.774
Se -2.593 -7.491 -0.743
```